[1]
First-principles (GGA-PBE) data for crystalline KCrOs4 at its relaxed geometry, as listed in Alexandria.

Unit cell a=5.2780 b=5.2780 c=5.2780 alpha=60.00 beta=60.00 gamma=60.00
With the nearest neighbours (Å) after each atom.
Positions (direct):
Os 0.8730 0.3757 0.3757  6 Os 2.62-2.65
Os 0.3757 0.3757 0.8730  6 Os 2.62-2.65
Os 0.3757 0.3757 0.3757  6 Os 2.62-2.65
Os 0.3757 0.8730 0.3757  6 Os 2.62-2.65
Cr 0.7500 0.7500 0.7500  12 Os 3.09, 4 K 3.23
K 0.0000 0.0000 0.0000  12 Os 3.10, 4 Cr 3.23

The calculation puts the volume at 104.0 Å³/f.u. Its total magnetization is 1.395 μB/f.u. Its energy of formation is 1.08 eV per atom.

[2]
First-principles (GGA-PBE) data for crystalline HfAsI2 at its relaxed geometry, as listed in Alexandria.

Unit cell a=10.5675 b=10.5675 c=7.9078 alpha=48.07 beta=48.07 gamma=90.00
With the nearest neighbours (Å) after each atom.
Positions (direct):
As 0.2500 0.7500 0.5000  2 Hf 2.59
As 0.5000 0.5000 0.0000  2 Hf 2.59
I 0.8750 0.0254 0.7500  2 Hf 2.92
I 0.7754 0.1250 0.2500  2 Hf 2.92
I 0.3750 0.2246 0.7500  2 Hf 2.92
I 0.9746 0.6250 0.2500  2 Hf 2.92
Hf 0.7500 0.2500 0.5000  2 As 2.59
Hf 0.0000 0.0000 0.0000  2 As 2.59

The calculation puts the volume at 144.5 Å³/f.u. Its total magnetization is 0.000 μB/f.u. As for the energy above the most stable polymorph in this dataset: 0 meV/atom. Its uncorrected formation energy is -0.229 eV/atom.

[3]
First-principles (GGA-PBE) data for crystalline Ba2AgPb3O8 at its relaxed geometry, as listed in Alexandria.

Unit cell a=7.0223 b=7.0223 c=7.6093 alpha=62.52 beta=62.52 gamma=60.00
With the nearest neighbours (Å) after each atom.
Positions (direct):
Pb 0.9951 0.4964 0.0121  6 O 2.28-2.36
Pb 0.4964 0.9951 0.0121  6 O 2.28-2.36
Pb 0.4964 0.4964 0.0121  6 O 2.28-2.36
O 0.7215 0.7215 0.8356  3 Pb 2.32
O 0.2444 0.6883 0.8229  2 Pb 2.28, 1 Ba 2.54
O 0.2444 0.2444 0.8229  2 Pb 2.28, 1 Ba 2.54
O 0.6883 0.2444 0.8229  2 Pb 2.28, 1 Ba 2.54
O 0.7501 0.2998 0.2000  1 Ag 2.24, 2 Pb 2.28
O 0.7501 0.7501 0.2000  1 Ag 2.24, 2 Pb 2.28
O 0.2668 0.2668 0.1997  3 Pb 2.36
O 0.2998 0.7501 0.2000  1 Ag 2.24, 2 Pb 2.28
Ba 0.1199 0.1199 0.6403  4 O 2.54-2.84
Ba 0.4972 0.4972 0.5083  6 O 2.70-2.71
Ag 0.9223 0.9223 0.2332  3 O 2.24

The calculation puts the volume at 275.0 Å³/f.u. Its total magnetization is 0.000 μB/f.u. Its uncorrected formation energy is -1.306 eV/atom.